(1)
Material: NaBiS2
Method: DFT, PBE
State: relaxed

Structure (POSCAR):
```
NaBiS2
1.0
2.415 0.000 8.194
-1.208 2.092 8.194
-1.208 -2.092 8.194
Na S Bi
1 2 1
direct
0.000 0.000 0.000
0.895 0.895 0.895
0.105 0.105 0.105
0.500 0.500 0.500
```

The calculation puts the total energy at -15.59 eV per cell. The calculation puts the uncorrected formation energy at -0.53 eV per atom.

***

(2)
Material: NaBi3S
Method: DFT, PBE
State: relaxed

Structure (POSCAR):
```
NaBi3S
1.0
-1.196 1.525 5.150
-0.839 -5.264 1.364
5.305 -0.489 1.377
Na S Bi
1 1 3
direct
0.500 0.500 0.500
0.000 0.000 0.000
0.000 0.500 0.000
0.000 0.000 0.500
0.500 0.000 0.000
```

The calculation puts the total energy at -16.18 eV per cell. The calculation puts the uncorrected formation energy at 0.18 eV per atom.

***

(3)
Material: Na2BiS2
Method: DFT, PBE
State: relaxed

Structure (POSCAR):
```
Na2BiS2
1.0
6.647 0.000 0.531
0.000 7.740 0.000
-0.040 0.000 10.488
Na Bi S
8 4 8
direct
0.503 0.256 0.003
0.003 0.244 0.003
0.997 0.756 0.997
0.497 0.744 0.997
0.947 0.617 0.338
0.447 0.883 0.338
0.553 0.117 0.662
0.053 0.383 0.662
0.411 0.370 0.331
0.589 0.630 0.669
0.911 0.130 0.331
0.089 0.870 0.669
0.726 0.989 0.127
0.226 0.511 0.127
0.774 0.489 0.873
0.274 0.011 0.873
0.727 0.384 0.506
0.227 0.116 0.506
0.773 0.884 0.494
0.273 0.616 0.494
```

The calculation puts the total energy at -71.86 eV per cell. The calculation puts the uncorrected formation energy at -0.64 eV per atom.

***

Repeat the second record exactly.
Material: NaBi3S
Method: DFT, PBE
State: relaxed

Structure (POSCAR):
```
NaBi3S
1.0
-1.196 1.525 5.150
-0.839 -5.264 1.364
5.305 -0.489 1.377
Na S Bi
1 1 3
direct
0.500 0.500 0.500
0.000 0.000 0.000
0.000 0.500 0.000
0.000 0.000 0.500
0.500 0.000 0.000
```

The calculation puts the total energy at -16.18 eV per cell. The calculation puts the uncorrected formation energy at 0.18 eV per atom.